A plane-wave DFT calculation with PBE-GGA was carried out for crystalline VCoSe2N at its relaxed geometry.

a = 4.955 Å, b = 4.955 Å, c = 3.584 Å
α = 90.00°, β = 90.00°, γ = 90.00°
Space group P4/mmm (No. 123)
Asymmetric unit:
V 0.000 0.000 0.000 (multiplicity 1)
Co 0.500 0.500 0.500 (multiplicity 1)
Se 0.000 0.500 0.000 (multiplicity 2)
N 0.000 0.000 0.500 (multiplicity 1)

## Properties
Total magnetic moment (μB/cell): 2.55
Raw total energy (eV/cell): -29.5
Uncorrected formation energy (kJ/mol of formula units): 194
N(E_F) (states/eV per cell): 5.0

---

A plane-wave DFT calculation with PBE-GGA was carried out for crystalline BaTeP at its relaxed geometry.

a = 7.439 Å, b = 7.439 Å, c = 7.439 Å
α = 90.00°, β = 90.00°, γ = 90.00°
Space group F-43m (No. 216)
Asymmetric unit:
Ba 0.000 0.000 0.000 (multiplicity 4)
Te 0.000 0.000 0.500 (multiplicity 4)
P 0.250 0.250 0.750 (multiplicity 4)

## Properties
Total magnetic moment (μB/cell): 0.00
Raw total energy (eV/cell): -46.7
Uncorrected formation energy (kJ/mol of formula units): -115
N(E_F) (states/eV per cell): 16.5

---

A plane-wave DFT calculation with PBE-GGA was carried out for crystalline BeZn2Cl at its relaxed geometry.

a = 3.096 Å, b = 5.685 Å, c = 7.996 Å
α = 90.00°, β = 90.00°, γ = 90.00°
Space group Immm (No. 71)
Asymmetric unit:
Be 0.000 0.000 0.000 (multiplicity 2)
Zn 0.000 0.500 0.276 (multiplicity 4)
Cl 0.000 0.000 0.500 (multiplicity 2)

## Properties
Total magnetic moment (μB/cell): 0.00
Raw total energy (eV/cell): -14.2
Uncorrected formation energy (kJ/mol of formula units): 96
N(E_F) (states/eV per cell): 2.5

---

A plane-wave DFT calculation with PBE-GGA was carried out for crystalline SbPtPb3 at its relaxed geometry.

a = 5.415 Å, b = 5.415 Å, c = 5.415 Å
α = 90.00°, β = 90.00°, γ = 90.00°
Space group Pm-3m (No. 221)
Asymmetric unit:
Sb 0.000 0.000 0.000 (multiplicity 1)
Pt 0.500 0.500 0.500 (multiplicity 1)
Pb 0.000 0.500 0.500 (multiplicity 3)

## Properties
Total magnetic moment (μB/cell): 0.00
Raw total energy (eV/cell): -20.8
Uncorrected formation energy (kJ/mol of formula units): 50
N(E_F) (states/eV per cell): 2.1

---

A plane-wave DFT calculation with PBE-GGA was carried out for crystalline TiMo3Ir at its relaxed geometry.

a = 4.721 Å, b = 4.721 Å, c = 4.721 Å
α = 90.00°, β = 90.00°, γ = 90.00°
Space group Pm-3m (No. 221)
Asymmetric unit:
Ti 0.000 0.000 0.000 (multiplicity 1)
Mo 0.000 0.500 0.500 (multiplicity 3)
Ir 0.500 0.500 0.500 (multiplicity 1)

## Properties
Total magnetic moment (μB/cell): 0.00
Raw total energy (eV/cell): -42.0
Energy of formation (eV/f.u.): 7.3
N(E_F) (states/eV per cell): 6.1

---

A plane-wave DFT calculation with PBE-GGA was carried out for crystalline RbLiZnSb2 at its relaxed geometry.

a = 4.950 Å, b = 4.950 Å, c = 11.403 Å
α = 90.00°, β = 90.00°, γ = 90.00°
Space group I-4m2 (No. 119)
Asymmetric unit:
Rb 0.000 0.000 0.000 (multiplicity 2)
Li 0.000 0.500 0.250 (multiplicity 2)
Zn 0.000 0.500 0.750 (multiplicity 2)
Sb 0.000 0.000 0.372 (multiplicity 4)

## Properties
Total magnetic moment (μB/cell): 0.00
Raw total energy (eV/cell): -28.5
Uncorrected formation energy (kJ/mol of formula units): -178
N(E_F) (states/eV per cell): 1.0

---

A plane-wave DFT calculation with PBE-GGA was carried out for crystalline PbW3 at its relaxed geometry.

a = 9.2376 Å, b = 9.2376 Å, c = 2.9015 Å
α = 90.00°, β = 90.00°, γ = 120.00°
Space group R-3m (No. 166, hexagonal axes)
Asymmetric unit:
Pb 0.0000 0.0000 0.0000 (multiplicity 3)
W 0.0000 0.5000 0.0000 (multiplicity 9)

## Properties
Total magnetic moment (μB/cell): 0.00
Raw total energy (eV/cell): -116.4
Energy of formation (eV/f.u.): 3.8
N(E_F) (states/eV per cell): 10.0

---

A plane-wave DFT calculation with PBE-GGA was carried out for crystalline PmDy4Bi5 at its relaxed geometry.

a = 4.497 Å, b = 6.357 Å, c = 22.482 Å
α = 90.00°, β = 90.00°, γ = 90.00°
Space group Immm (No. 71)
Asymmetric unit:
Pm 0.000 0.000 0.000 (multiplicity 2)
Dy 0.000 0.000 0.201 (multiplicity 4)
Dy 0.000 0.000 0.400 (multiplicity 4)
Bi 0.000 0.500 0.000 (multiplicity 2)
Bi 0.000 0.500 0.199 (multiplicity 4)
Bi 0.000 0.500 0.397 (multiplicity 4)

## Properties
Total magnetic moment (μB/cell): 0.00
Raw total energy (eV/cell): -102.6
Energy of formation (eV/f.u.): -8.7
N(E_F) (states/eV per cell): 3.9